# ZrTe2Se (PBEsol, relaxed)
# - formation energy without anion corrections (eV per atom) = -0.219
# - symmetry = No. 65
# - mass density (g/cm³) = 7.089
# - total magnetization (μB per atom) = 0.000
data_ZrTe2Se
_chemical_formula_sum 'Zr1 Te2 Se1'
_cell_length_a 3.192
_cell_length_b 3.192
_cell_length_c 9.995
_cell_angle_alpha 90.00
_cell_angle_beta 90.00
_cell_angle_gamma 101.97
_symmetry_space_group_name_H-M 'P 1'
_symmetry_Int_Tables_number 1
_symmetry_space_group_name_Hall 'P 1'
loop_
_atom_site_label
_atom_site_fract_x
_atom_site_fract_y
_atom_site_fract_z
Se1 0.500 0.500 0.000
Te1 0.000 0.000 0.711
Te2 0.000 0.000 0.289
Zr1 0.500 0.500 0.500

# TbCu5 (PBEsol, relaxed)
# - symmetry = No. 216
# - mass density (g/cm³) = 9.565
# - total magnetization (μB per atom) = 0.000
# - calculated formation energy (eV per atom) = -0.181
data_TbCu5
_chemical_formula_sum 'Tb1 Cu5'
_cell_length_a 4.891
_cell_length_b 4.891
_cell_length_c 4.891
_cell_angle_alpha 60.00
_cell_angle_beta 60.00
_cell_angle_gamma 60.00
_symmetry_space_group_name_H-M 'P 1'
_symmetry_Int_Tables_number 1
_symmetry_space_group_name_Hall 'P 1'
loop_
_atom_site_label
_atom_site_fract_x
_atom_site_fract_y
_atom_site_fract_z
Tb1 0.000 0.000 0.000
Cu1 0.624 0.624 0.129
Cu2 0.624 0.624 0.624
Cu3 0.129 0.624 0.624
Cu4 0.624 0.129 0.624
Cu5 0.250 0.250 0.250

# Mg3ZnO4 (PBEsol, relaxed)
# - formation energy without anion corrections (eV per atom) = -2.395
# - symmetry = No. 65
# - mass density (g/cm³) = 4.431
# - total magnetization (μB per atom) = 0.000
# - ΔE to the lowest computed polymorph (eV per formula unit) = 0.00
data_Mg3ZnO4
_chemical_formula_sum 'Mg3 Zn1 O4'
_cell_length_a 2.996
_cell_length_b 5.181
_cell_length_c 5.181
_cell_angle_alpha 109.50
_cell_angle_beta 90.00
_cell_angle_gamma 90.00
_symmetry_space_group_name_H-M 'P 1'
_symmetry_Int_Tables_number 1
_symmetry_space_group_name_Hall 'P 1'
loop_
_atom_site_label
_atom_site_fract_x
_atom_site_fract_y
_atom_site_fract_z
O1 0.000 0.747 0.253
Zn1 0.000 0.000 0.000
Mg1 0.500 0.000 0.500
O2 0.500 0.255 0.255
O3 0.000 0.253 0.747
Mg2 0.500 0.500 0.000
Mg3 0.000 0.500 0.500
O4 0.500 0.745 0.745

# ZrIrRu2 (PBEsol, relaxed)
# - symmetry = No. 166
# - mass density (g/cm³) = 13.330
# - total magnetization (μB per atom) = 0.000
# - calculated formation energy (eV per atom) = 0.159
# - ΔE to the lowest computed polymorph (eV per formula unit) = 1.71
data_ZrIrRu2
_chemical_formula_sum 'Zr1 Ir1 Ru2'
_cell_length_a 2.746
_cell_length_b 2.746
_cell_length_c 9.399
_cell_angle_alpha 81.60
_cell_angle_beta 81.60
_cell_angle_gamma 60.00
_symmetry_space_group_name_H-M 'P 1'
_symmetry_Int_Tables_number 1
_symmetry_space_group_name_Hall 'P 1'
loop_
_atom_site_label
_atom_site_fract_x
_atom_site_fract_y
_atom_site_fract_z
Zr1 0.500 0.500 0.500
Ru1 0.744 0.744 0.767
Ir1 0.000 0.000 0.000
Ru2 0.256 0.256 0.233

# SbPN2 (PBEsol, relaxed)
# - formation energy without anion corrections (eV per atom) = 0.121
# - symmetry = No. 227
# - mass density (g/cm³) = 5.914
# - total magnetization (μB per atom) = 0.000
data_SbPN2
_chemical_formula_sum 'Sb2 P2 N4'
_cell_length_a 5.236
_cell_length_b 5.236
_cell_length_c 5.236
_cell_angle_alpha 60.00
_cell_angle_beta 60.00
_cell_angle_gamma 60.00
_symmetry_space_group_name_H-M 'P 1'
_symmetry_Int_Tables_number 1
_symmetry_space_group_name_Hall 'P 1'
loop_
_atom_site_label
_atom_site_fract_x
_atom_site_fract_y
_atom_site_fract_z
Sb1 0.750 0.750 0.750
N1 0.125 0.625 0.125
N2 0.125 0.125 0.625
N3 0.125 0.125 0.125
P1 0.250 0.250 0.250
P2 0.000 0.000 0.000
Sb2 0.500 0.500 0.500
N4 0.625 0.125 0.125

# SrMgTl2 (PBEsol, relaxed)
# - symmetry = No. 123
# - mass density (g/cm³) = 7.917
# - total magnetization (μB per atom) = 0.000
# - calculated formation energy (eV per atom) = -0.312
# - ΔE to the lowest computed polymorph (eV per formula unit) = 0.06
data_SrMgTl2
_chemical_formula_sum 'Sr1 Mg1 Tl2'
_cell_length_a 3.773
_cell_length_b 3.772
_cell_length_c 8.551
_cell_angle_alpha 90.00
_cell_angle_beta 116.17
_cell_angle_gamma 90.00
_symmetry_space_group_name_H-M 'P 1'
_symmetry_Int_Tables_number 1
_symmetry_space_group_name_Hall 'P 1'
loop_
_atom_site_label
_atom_site_fract_x
_atom_site_fract_y
_atom_site_fract_z
Tl1 0.787 0.000 0.787
Sr1 0.000 0.500 0.500
Mg1 0.500 0.500 0.000
Tl2 0.213 0.000 0.213

# NaV2O4 (PBEsol, relaxed)
# - formation energy without anion corrections (eV per atom) = -2.288
# - symmetry = No. 62
# - mass density (g/cm³) = 4.538
# - total magnetization (μB per atom) = 0.429
# - ΔE to the lowest computed polymorph (eV per formula unit) = 0.00
data_NaV2O4
_chemical_formula_sum 'Na4 V8 O16'
_cell_length_a 2.852
_cell_length_b 9.143
_cell_length_c 10.600
_cell_angle_alpha 90.00
_cell_angle_beta 90.00
_cell_angle_gamma 90.00
_symmetry_space_group_name_H-M 'P 1'
_symmetry_Int_Tables_number 1
_symmetry_space_group_name_Hall 'P 1'
loop_
_atom_site_label
_atom_site_fract_x
_atom_site_fract_y
_atom_site_fract_z
O1 0.000 0.139 0.980
V1 0.000 0.311 0.385
O2 0.500 0.172 0.429
O3 0.000 0.328 0.570
O4 0.500 0.270 0.782
V2 0.000 0.811 0.114
Na1 0.500 0.008 0.847
O5 0.500 0.672 0.070
O6 0.500 0.457 0.354
Na2 0.500 0.508 0.652
O7 0.000 0.543 0.854
V3 0.500 0.663 0.395
O8 0.000 0.639 0.519
O9 0.000 0.230 0.217
V4 0.500 0.163 0.103
V5 0.000 0.337 0.895
O10 0.500 0.957 0.145
V6 0.500 0.189 0.614
O11 0.500 0.361 0.019
O12 0.000 0.043 0.645
V7 0.500 0.689 0.885
V8 0.000 0.837 0.603
O13 0.500 0.770 0.717
Na3 0.000 0.992 0.347
O14 0.000 0.828 0.929
O15 0.500 0.861 0.480
O16 0.000 0.730 0.282
Na4 0.000 0.492 0.152

# CrCd2Co (PBEsol, relaxed)
# - symmetry = No. 6
# - mass density (g/cm³) = 9.191
# - total magnetization (μB per atom) = 0.000
# - calculated formation energy (eV per atom) = 0.448
# - ΔE to the lowest computed polymorph (eV per formula unit) = 0.83
data_CrCd2Co
_chemical_formula_sum 'Cr1 Cd2 Co1'
_cell_length_a 2.735
_cell_length_b 3.875
_cell_length_c 5.853
_cell_angle_alpha 90.00
_cell_angle_beta 102.04
_cell_angle_gamma 90.00
_symmetry_space_group_name_H-M 'P 1'
_symmetry_Int_Tables_number 1
_symmetry_space_group_name_Hall 'P 1'
loop_
_atom_site_label
_atom_site_fract_x
_atom_site_fract_y
_atom_site_fract_z
Cd1 0.568 0.500 0.278
Co1 0.135 0.000 0.541
Cd2 0.948 0.000 0.973
Cr1 0.349 0.500 0.708

# FeCoS2 (PBEsol, relaxed)
# - formation energy without anion corrections (eV per atom) = -0.105
# - symmetry = No. 166
# - mass density (g/cm³) = 5.018
# - total magnetization (μB per atom) = 0.679
data_FeCoS2
_chemical_formula_sum 'Fe1 Co1 S2'
_cell_length_a 3.178
_cell_length_b 3.178
_cell_length_c 7.012
_cell_angle_alpha 76.90
_cell_angle_beta 76.90
_cell_angle_gamma 60.00
_symmetry_space_group_name_H-M 'P 1'
_symmetry_Int_Tables_number 1
_symmetry_space_group_name_Hall 'P 1'
loop_
_atom_site_label
_atom_site_fract_x
_atom_site_fract_y
_atom_site_fract_z
S1 0.106 0.106 0.682
Fe1 0.000 0.000 0.000
S2 0.894 0.894 0.318
Co1 0.500 0.500 0.500

# CsBaLa2B (PBEsol, relaxed)
# - symmetry = No. 123
# - mass density (g/cm³) = 5.215
# - total magnetization (μB per atom) = 0.000
# - calculated formation energy (eV per atom) = 1.358
data_CsBaLa2B
_chemical_formula_sum 'Cs1 Ba1 La2 B1'
_cell_length_a 5.098
_cell_length_b 5.908
_cell_length_c 5.908
_cell_angle_alpha 90.00
_cell_angle_beta 90.00
_cell_angle_gamma 90.00
_symmetry_space_group_name_H-M 'P 1'
_symmetry_Int_Tables_number 1
_symmetry_space_group_name_Hall 'P 1'
loop_
_atom_site_label
_atom_site_fract_x
_atom_site_fract_y
_atom_site_fract_z
La1 0.000 0.000 0.500
La2 0.000 0.500 0.000
Ba1 0.500 0.500 0.500
B1 0.500 0.000 0.000
Cs1 0.000 0.000 0.000

# La2NbGeCl (PBEsol, relaxed)
# - formation energy without anion corrections (eV per atom) = 0.636
# - symmetry = No. 123
# - mass density (g/cm³) = 4.925
# - total magnetization (μB per atom) = 0.916
data_La2NbGeCl
_chemical_formula_sum 'La2 Nb1 Ge1 Cl1'
_cell_length_a 4.763
_cell_length_b 5.822
_cell_length_c 5.822
_cell_angle_alpha 90.00
_cell_angle_beta 90.00
_cell_angle_gamma 90.00
_symmetry_space_group_name_H-M 'P 1'
_symmetry_Int_Tables_number 1
_symmetry_space_group_name_Hall 'P 1'
loop_
_atom_site_label
_atom_site_fract_x
_atom_site_fract_y
_atom_site_fract_z
La1 0.000 0.500 0.000
Nb1 0.500 0.500 0.500
Ge1 0.000 0.000 0.000
La2 0.000 0.000 0.500
Cl1 0.500 0.000 0.000